Record 1
An optimized crystal structure of RbBa2RuI, computed with PBE-GGA.

Geometry as POSCAR:
```
RbBa2RuI
1.0
7.045 0.000 0.000
0.000 7.045 0.000
0.000 0.000 6.143
Rb Ba Ru I
1 2 1 1
Direct
0.000 0.000 0.000
0.000 0.500 0.000
0.500 0.000 0.000
0.500 0.500 0.500
0.000 0.000 0.500
```

- E: -2.027 eV/atom
- E_form (uncorrected): 1101 meV per atom
- Theoretical density: 3.203 Mg/m³

***

Record 2
An optimized crystal structure of RbBa2SbI, computed with PBE-GGA.

Geometry as POSCAR:
```
RbBa2SbI
1.0
6.675 0.000 0.000
0.000 6.675 0.000
0.000 0.000 7.144
Rb Ba Sb I
1 2 1 1
Direct
0.000 0.000 0.000
0.000 0.500 0.500
0.500 0.000 0.500
0.000 0.000 0.500
0.500 0.500 0.000
```

- E: -2.827 eV/atom
- E_form (uncorrected): -730 meV per atom
- Theoretical density: 3.176 Mg/m³

***

Record 3
An optimized crystal structure of RbBaScI6, computed with PBE-GGA.

Geometry as POSCAR:
```
RbBaScI6
1.0
8.442 0.000 0.000
-4.221 7.311 0.000
0.000 0.000 15.128
Rb Ba Sc I
2 2 2 12
Direct
0.000 0.000 0.000
0.000 0.000 0.500
0.333 0.667 0.250
0.667 0.333 0.750
0.333 0.667 0.750
0.667 0.333 0.250
0.049 0.393 0.636
0.049 0.656 0.864
0.344 0.393 0.864
0.344 0.951 0.636
0.393 0.049 0.136
0.393 0.344 0.364
0.607 0.656 0.636
0.607 0.951 0.864
0.656 0.049 0.364
0.656 0.607 0.136
0.951 0.344 0.136
0.951 0.607 0.364
```

- E: -3.521 eV/atom
- E_form (uncorrected): -1463 meV per atom
- Theoretical density: 3.660 Mg/m³

***

Record 4
An optimized crystal structure of Rb3Ba2Se2I3, computed with PBE-GGA.

Geometry as POSCAR:
```
Rb3Ba2Se2I3
1.0
-2.974 2.974 15.828
2.974 -2.974 15.828
2.974 2.974 -15.828
Rb Ba Se I
3 2 2 3
Direct
0.000 0.000 0.000
0.389 0.389 0.000
0.611 0.611 0.000
0.250 0.750 0.500
0.750 0.250 0.500
0.284 0.284 0.000
0.716 0.716 0.000
0.120 0.120 0.000
0.500 0.500 0.000
0.880 0.880 0.000
```

- E: -3.366 eV/atom
- E_form (uncorrected): -1529 meV per atom
- Theoretical density: 3.173 Mg/m³

***

Record 5
An optimized crystal structure of Rb2BaSeI6, computed with PBE-GGA.

Geometry as POSCAR:
```
Rb2BaSeI6
1.0
-4.702 4.702 6.123
4.702 -4.702 6.123
4.702 4.702 -6.123
Rb Ba Se I
2 1 1 6
Direct
0.250 0.750 0.500
0.750 0.250 0.500
0.000 0.000 0.000
0.500 0.500 0.000
0.253 0.253 0.505
0.253 0.747 0.000
0.276 0.276 0.000
0.724 0.724 0.000
0.747 0.253 0.000
0.747 0.747 0.495
```

- E: -2.576 eV/atom
- E_form (uncorrected): -912 meV per atom
- Theoretical density: 3.522 Mg/m³

***

Record 6
An optimized crystal structure of RbBaSe2I, computed with PBE-GGA.

Geometry as POSCAR:
```
RbBaSe2I
1.0
6.266 0.000 0.000
0.000 6.266 0.000
0.000 0.000 6.839
Rb Ba Se I
1 1 2 1
Direct
0.000 0.000 0.000
0.500 0.500 0.500
0.000 0.500 0.500
0.500 0.000 0.500
0.500 0.500 0.000
```

- E: -3.116 eV/atom
- E_form (uncorrected): -834 meV per atom
- Theoretical density: 3.139 Mg/m³

***

Record 7
An optimized crystal structure of RbBa2SmI8, computed with PBE-GGA.

Geometry as POSCAR:
```
RbBa2SmI8
1.0
7.647 0.000 0.000
-0.036 7.963 0.000
-0.007 -0.002 10.567
Rb Ba Sm I
1 2 1 8
Direct
0.000 0.000 0.000
0.500 0.500 0.255
0.500 0.500 0.745
0.000 0.000 0.500
0.234 0.853 0.289
0.234 0.853 0.711
0.236 0.328 0.500
0.248 0.387 0.000
0.752 0.613 0.000
0.764 0.672 0.500
0.766 0.147 0.289
0.766 0.147 0.711
```

- E: -3.403 eV/atom
- E_form (uncorrected): -1575 meV per atom
- Theoretical density: 3.938 Mg/m³

***

Record 8
An optimized crystal structure of RbBaSmI6, computed with PBE-GGA.

Geometry as POSCAR:
```
RbBaSmI6
1.0
8.602 0.000 0.000
-4.301 7.450 0.000
0.000 0.000 15.537
Rb Ba Sm I
2 2 2 12
Direct
0.000 0.000 0.000
0.000 0.000 0.500
0.333 0.667 0.250
0.667 0.333 0.750
0.333 0.667 0.750
0.667 0.333 0.250
0.032 0.382 0.633
0.032 0.650 0.867
0.350 0.382 0.867
0.350 0.968 0.633
0.382 0.032 0.133
0.382 0.350 0.367
0.618 0.650 0.633
0.618 0.968 0.867
0.650 0.032 0.367
0.650 0.618 0.133
0.968 0.350 0.133
0.968 0.618 0.367
```

- E: -3.434 eV/atom
- E_form (uncorrected): -1556 meV per atom
- Theoretical density: 3.784 Mg/m³

***

Record 9
An optimized crystal structure of RbBa2SnI8, computed with PBE-GGA.

Geometry as POSCAR:
```
RbBa2SnI8
1.0
7.695 0.000 0.000
0.033 7.806 0.000
0.000 0.004 10.536
Rb Ba Sn I
1 2 1 8
Direct
0.000 0.000 0.000
0.499 0.500 0.745
0.501 0.500 0.255
0.000 0.000 0.500
0.226 0.665 0.500
0.235 0.138 0.292
0.236 0.137 0.708
0.255 0.621 0.000
0.745 0.379 0.000
0.764 0.863 0.292
0.765 0.862 0.708
0.774 0.335 0.500
```

- E: -2.967 eV/atom
- E_form (uncorrected): -1199 meV per atom
- Theoretical density: 3.920 Mg/m³

***

Record 10
An optimized crystal structure of Rb2BaSrI6, computed with PBE-GGA.

Geometry as POSCAR:
```
Rb2BaSrI6
1.0
0.000 6.605 6.605
6.605 0.000 6.605
6.605 6.605 0.000
Rb Ba Sr I
2 1 1 6
Direct
0.250 0.250 0.250
0.750 0.750 0.750
0.000 0.000 0.000
0.500 0.500 0.500
0.256 0.256 0.744
0.256 0.744 0.256
0.256 0.744 0.744
0.744 0.256 0.256
0.744 0.256 0.744
0.744 0.744 0.256
```

- E: -3.049 eV/atom
- E_form (uncorrected): -1565 meV per atom
- Energy above the lowest structure with this stoichiometry: 7.5 kJ/mol of atoms
- Theoretical density: 3.335 Mg/m³

***

DOS at the Fermi energy, record by record: 1.242; 0.450; 0.000; 0.000; 0.001; 1.793; 0.000; 0.000; 0.482; 0.000 states/eV per atom